# PBE CeErBi2, optimized geometry
data_CeErBi2
_cell_length_a 4.4952
_cell_length_b 4.4952
_cell_length_c 23.0086
_cell_angle_alpha 90.00
_cell_angle_beta 90.00
_cell_angle_gamma 120.00
_symmetry_space_group_name_H-M 'R 3 m'
_symmetry_Int_Tables_number 160
_symmetry_space_group_name_Hall 'R 3 -2"'
loop_
_atom_site_label
_atom_site_type_symbol
_atom_site_fract_x
_atom_site_fract_y
_atom_site_fract_z
_atom_site_occupancy
Ce1 Ce 0.0000 0.0000 0.0000 1
Er1 Er 0.0000 0.0000 0.1712 1
Bi1 Bi 0.0000 0.0000 0.4201 1
Bi2 Bi 0.0000 0.0000 0.5843 1
# Energy above the lowest structure with this stoichiometry   0.112 eV per atom
# Total magnetization   0.90 μB/f.u.
# V   33.55 Å³ per atom